(1)
Density functional theory data (PBE) for crystalline Tb2YHg4 at its relaxed geometry.

Its crystal system is tetragonal. For the electronic total energy, the calculation gives -33.5 eV for the cell shown. Its total magnetic moment is 0.00 μB/cell.

The structure belongs to space group I4/mmm (No. 139); the cell edges are 5.6265, 5.6265 and 15.3747 Å and the angles 90.00°, 90.00° and 90.00°. The inequivalent atoms are Tb at (0.0000, 0.0000, 0.1023), Y at (0.0000, 0.0000, 0.5000), Hg at (0.0000, 0.0000, 0.3014) and Hg at (0.0000, 0.5000, 0.0000).

(2)
Density functional theory data (PBE) for crystalline Ba2LaAl at its relaxed geometry.

Its crystal system is tetragonal. For the electronic total energy, the calculation gives -12.1 eV for the cell shown. Its total magnetic moment is 0.00 μB/cell.

The structure belongs to space group P4/mmm (No. 123); the cell edges are 4.0343, 4.0343 and 10.1847 Å and the angles 90.00°, 90.00° and 90.00°. The inequivalent atoms are Ba at (0.0000, 0.0000, 0.2007), La at (0.5000, 0.5000, 0.5000) and Al at (0.5000, 0.5000, 0.0000).

(3)
Density functional theory data (PBE) for crystalline TbPuIrOs at its relaxed geometry.

Its crystal system is cubic. For the electronic total energy, the calculation gives -160.5 eV for the cell shown. Its total magnetic moment is 16.64 μB/cell.

The structure belongs to space group F-43m (No. 216); the cell edges are 6.8370, 6.8370 and 6.8370 Å and the angles 90.00°, 90.00° and 90.00°. The inequivalent atoms are Tb at (0.0000, 0.0000, 0.0000), Pu at (0.0000, 0.0000, 0.5000), Ir at (0.2500, 0.2500, 0.2500) and Os at (0.2500, 0.2500, 0.7500).

(4)
Density functional theory data (PBE) for crystalline LaPaCoCl at its relaxed geometry.

Its crystal system is trigonal. The raw formation energy comes out at -333 kJ/mol of formula units. For the electronic total energy, the calculation gives -161.0 eV for the cell shown. Its total magnetic moment is 0.00 μB/cell.

The structure belongs to space group R-3m (No. 166, hexagonal axes); the cell edges are 3.9922, 3.9922 and 46.3556 Å and the angles 90.00°, 90.00° and 120.00°. The inequivalent atoms are La at (0.0000, 0.0000, 0.0894), Pa at (0.0000, 0.0000, 0.3099), Co at (0.0000, 0.0000, 0.3817) and Cl at (0.0000, 0.0000, 0.2045).

(5)
Density functional theory data (PBE) for crystalline ZrFe2B4 at its relaxed geometry.

Its crystal system is orthorhombic. For the electronic total energy, the calculation gives -111.4 eV for the cell shown. Its total magnetic moment is 5.06 μB/cell.

The structure belongs to space group Immm (No. 71); the cell edges are 3.0522, 3.2818 and 12.7487 Å and the angles 90.00°, 90.00° and 90.00°. The inequivalent atoms are Zr at (0.0000, 0.0000, 0.0000), Fe at (0.0000, 0.5000, 0.3114), B at (0.0000, 0.0000, 0.4206) and B at (0.0000, 0.5000, 0.1511).

(6)
Density functional theory data (PBE) for crystalline PuSnOs at its relaxed geometry.

Its crystal system is monoclinic. For the electronic total energy, the calculation gives -118.1 eV for the cell shown. Its total magnetic moment is 19.93 μB/cell.

The structure belongs to space group C2/m (No. 12); the cell edges are 11.7646, 3.0483 and 7.8660 Å and the angles 90.00°, 115.32° and 90.00°. The inequivalent atoms are Pu at (0.0455, 0.0000, 0.2562), Sn at (0.1727, 0.5000, 0.6675) and Os at (0.1590, 0.5000, 0.0226).